Here is a geometry-optimized Ho2NiO structure from Alexandria via LeMat-Bulk. Energies are from PBE with a Hubbard U.

Unit cell a=3.3283 b=3.3283 c=7.9360 alpha=77.90 beta=77.90 gamma=60.00
Closest atoms and distances in Å follow each position.
Element x y z (fractional)
Ho  0.8941  0.8941  0.3177  3 O 2.38, 1 Ni 2.45
Ho  0.1059  0.1059  0.6823  3 O 2.38, 1 Ni 2.45
O  0.5000  0.5000  0.5000  6 Ho 2.38
Ni  0.0000  0.0000  0.0000  2 Ho 2.45

Output
- Raw total energy: -0.1769 hartree per atom
- Size of the total moment: 0.0 μB/f.u.

=====

Here is a geometry-optimized HoNiP2O8 structure from Alexandria via LeMat-Bulk. Energies are from PBE with a Hubbard U.

Unit cell a=5.3746 b=5.3746 c=5.9937 alpha=90.00 beta=90.00 gamma=120.00
Closest atoms and distances in Å follow each position.
Element x y z (fractional)
P  0.6667  0.3333  0.3461  4 O 1.52-1.57
P  0.3333  0.6667  0.6539  4 O 1.52-1.57
O  0.8250  0.6500  0.2576  1 P 1.57
O  0.3333  0.6667  0.4002  1 P 1.52
Ho  0.0000  0.0000  0.0000  6 O 2.24
O  0.1750  0.3500  0.7423  1 P 1.57
O  0.3500  0.1750  0.2576  1 P 1.57
O  0.1750  0.8250  0.7423  1 P 1.57
O  0.6500  0.8250  0.7423  1 P 1.57
Ni  0.0000  0.0000  0.5000  6 O 2.18
O  0.8250  0.1750  0.2576  1 P 1.57
O  0.6667  0.3333  0.5998  1 P 1.52

Output
- Raw total energy: -0.2546 hartree per atom
- Size of the total moment: 3.0 μB/f.u.